VASP calculation (GGA-PBE) on a relaxed structure of PuScCl6.

Lattice parameters (Å, degrees): 6.5927 6.5922 7.1907 62.72 62.72 60.00
With the nearest neighbours (Å) after each atom.
Sites, in units of the cell vectors:
Sc 0.5000 0.5000 0.5000  6 Cl 2.51
Cl 0.7398 0.1162 0.7363  1 Sc 2.51, 1 Pu 2.73
Cl 0.4077 0.7398 0.7363  1 Sc 2.51, 1 Pu 2.73
Cl 0.2602 0.8838 0.2637  1 Sc 2.51, 1 Pu 2.73
Cl 0.1162 0.4077 0.7363  1 Sc 2.51, 1 Pu 2.73
Cl 0.5923 0.2602 0.2637  1 Sc 2.51, 1 Pu 2.73
Pu 0.0000 0.0000 0.0000  6 Cl 2.73
Cl 0.8838 0.5923 0.2637  1 Sc 2.51, 1 Pu 2.73

Energy above the most stable polymorph in this dataset   0.0165 eV per atom
VASP energy   -5.92 eV/atom
Energy relative to the elements, uncorrected   -1.956 eV per atom
Total moment   0.63 μB per atom